[1]
Entry from Alexandria via LeMat-Bulk: Pm3InPt2 after structural relaxation (PBE).

```
Pm3InPt2
1.0
-0.576 -5.268 -5.927
2.139 -7.615 0.812
-5.273 -5.950 0.053
Pt In Pm
4 2 6
Direct
0.644 0.644 0.644
0.144 0.144 0.144
0.356 0.356 0.356
0.856 0.856 0.856
0.000 0.000 0.000
0.500 0.500 0.500
0.529 0.971 0.250
0.750 0.471 0.029
0.471 0.029 0.750
0.971 0.250 0.529
0.250 0.529 0.971
0.029 0.750 0.471
```

Magnetization: 0.0 μB/cell
Energy of formation from the pure elements: -0.787 eV per atom
DOS(E_F): 0.90 states/eV per atom

---

[2]
Entry from Alexandria via LeMat-Bulk: PmIn9Pt2 after structural relaxation (PBE).

```
PmIn9Pt2
1.0
-1.965 5.473 4.106
-4.152 -3.027 8.219
7.083 2.610 6.080
In Pt Pm
18 4 2
Direct
0.330 0.702 0.058
0.660 0.558 0.202
0.090 0.298 0.942
0.611 0.058 0.298
0.782 0.558 0.798
0.968 0.942 0.702
0.750 0.500 0.500
0.782 0.798 0.558
0.139 0.202 0.442
0.090 0.942 0.298
0.420 0.798 0.442
0.611 0.298 0.058
0.000 0.000 0.000
0.139 0.442 0.202
0.660 0.202 0.558
0.968 0.702 0.942
0.420 0.442 0.798
0.330 0.058 0.702
0.875 0.250 0.750
0.875 0.750 0.250
0.875 0.250 0.250
0.375 0.750 0.750
0.500 0.000 0.000
0.250 0.500 0.500
```

Magnetization: 0.0 μB/cell
Energy of formation from the pure elements: -0.194 eV per atom
DOS(E_F): 0.36 states/eV per atom

---

[3]
Entry from Alexandria via LeMat-Bulk: Pm2InPt2 after structural relaxation (PBE).

```
Pm2InPt2
1.0
3.803 0.000 0.000
0.000 7.885 0.000
0.000 0.000 7.885
Pm Pt In
4 4 2
Direct
0.500 0.672 0.828
0.500 0.172 0.672
0.500 0.328 0.172
0.500 0.828 0.328
0.000 0.370 0.870
0.000 0.630 0.130
0.000 0.870 0.630
0.000 0.130 0.370
0.000 0.500 0.500
0.000 0.000 0.000
```

Magnetization: 0.0 μB/cell
Energy of formation from the pure elements: -1.040 eV per atom
DOS(E_F): 0.49 states/eV per atom